LaHoGaIr | PBE | relaxed Values from VASP.

Cell and atoms, written as Quantum ESPRESSO input:
```
&SYSTEM
  ibrav = 0, nat = 4, ntyp = 4
/
ATOMIC_SPECIES
Ir 192.22 Ir.upf
La 138.91 La.upf
Ga 69.72 Ga.upf
Ho 164.93 Ho.upf
ATOMIC_POSITIONS crystal
Ir 0.7500 0.7500 0.7500
La 0.0000 0.0000 0.0000
Ga 0.2500 0.2500 0.2500
Ho 0.5000 0.5000 0.5000
CELL_PARAMETERS angstrom
5.0771 0.0000 0.0000
2.5385 4.3969 0.0000
2.5385 1.4656 4.1454
```

Properties
formation energy from the elements: -578 meV per atom
magnetization: 0.001 Bohr magnetons per cell
electronic total energy: -5.93 eV/atom
symmetry: F-43m (216)

***

La2HoGa3Ir4 | PBE | relaxed Values from VASP.

Cell and atoms, written as Quantum ESPRESSO input:
```
&SYSTEM
  ibrav = 0, nat = 10, ntyp = 4
/
ATOMIC_SPECIES
La 138.91 La.upf
Ir 192.22 Ir.upf
Ga 69.72 Ga.upf
Ho 164.93 Ho.upf
ATOMIC_POSITIONS crystal
La 0.0000 0.5000 0.7759
La 0.5000 0.0000 0.2241
Ir 0.5000 0.5000 0.0000
Ir 0.5000 0.0000 0.6547
Ir 0.0000 0.0000 0.0000
Ir 0.0000 0.5000 0.3453
Ga 0.0000 0.0000 0.5000
Ga 0.5000 0.0000 0.8835
Ga 0.0000 0.5000 0.1165
Ho 0.5000 0.5000 0.5000
CELL_PARAMETERS angstrom
-3.9593 -0.4405 -1.6192
-0.9503 -2.8312 3.0941
-3.5731 8.2843 6.4831
```

Properties
formation energy from the elements: -745 meV per atom
magnetization: 0.000 Bohr magnetons per cell
electronic total energy: -6.64 eV/atom
symmetry: P-4m2 (115)

***

LiHoGa4Ir2 | PBE | relaxed Values from VASP.

Cell and atoms, written as Quantum ESPRESSO input:
```
&SYSTEM
  ibrav = 0, nat = 8, ntyp = 4
/
ATOMIC_SPECIES
Ir 192.22 Ir.upf
Ho 164.93 Ho.upf
Ga 69.72 Ga.upf
Li 6.94 Li.upf
ATOMIC_POSITIONS crystal
Ir 0.2461 0.2461 0.2618
Ir 0.7539 0.7539 0.7382
Ho 0.0000 0.0000 0.0000
Ga 0.6074 0.6074 0.1778
Ga 0.3926 0.3926 0.8222
Ga 0.1321 0.1321 0.6038
Ga 0.8679 0.8679 0.3962
Li 0.5000 0.5000 0.5000
CELL_PARAMETERS angstrom
-1.3125 -3.0028 -2.8899
1.6496 -4.0433 0.1490
-5.5579 -4.4854 3.8817
```

Properties
formation energy from the elements: -564 meV per atom
magnetization: 0.000 Bohr magnetons per cell
electronic total energy: -5.10 eV/atom
symmetry: R-3m (166)

***

LiHoGaIr | PBE | relaxed Values from VASP.

Cell and atoms, written as Quantum ESPRESSO input:
```
&SYSTEM
  ibrav = 0, nat = 4, ntyp = 4
/
ATOMIC_SPECIES
Li 6.94 Li.upf
Ga 69.72 Ga.upf
Ho 164.93 Ho.upf
Ir 192.22 Ir.upf
ATOMIC_POSITIONS crystal
Li 0.5000 0.5000 0.5000
Ga 0.2500 0.2500 0.2500
Ho 0.7500 0.7500 0.7500
Ir 0.0000 0.0000 0.0000
CELL_PARAMETERS angstrom
-1.2639 -0.9691 -4.3234
-4.3521 -1.2060 -0.9124
-2.7580 2.8893 -2.2964
```

Properties
formation energy from the elements: -566 meV per atom
magnetization: 0.000 Bohr magnetons per cell
electronic total energy: -5.16 eV/atom
symmetry: F-43m (216)

***

Ho2MgGa3Ir4 | PBE | relaxed Values from VASP.

Cell and atoms, written as Quantum ESPRESSO input:
```
&SYSTEM
  ibrav = 0, nat = 10, ntyp = 4
/
ATOMIC_SPECIES
Ho 164.93 Ho.upf
Ir 192.22 Ir.upf
Ga 69.72 Ga.upf
Mg 24.30 Mg.upf
ATOMIC_POSITIONS crystal
Ho 0.0000 0.5000 0.7656
Ho 0.5000 0.0000 0.2344
Ir 0.0000 0.0000 0.0000
Ir 0.0000 0.5000 0.3534
Ir 0.5000 0.0000 0.6466
Ir 0.5000 0.5000 0.0000
Ga 0.0000 0.0000 0.5000
Ga 0.0000 0.5000 0.1272
Ga 0.5000 0.0000 0.8728
Mg 0.5000 0.5000 0.5000
CELL_PARAMETERS angstrom
-3.5099 -1.4033 1.6763
2.0168 -3.3021 1.4584
2.2005 5.3611 9.0956
```

Properties
formation energy from the elements: -663 meV per atom
magnetization: 0.000 Bohr magnetons per cell
electronic total energy: -6.19 eV/atom
symmetry: P-4m2 (115)

***

NdHoGa2Ir2 | PBE | relaxed Values from VASP.

Cell and atoms, written as Quantum ESPRESSO input:
```
&SYSTEM
  ibrav = 0, nat = 6, ntyp = 4
/
ATOMIC_SPECIES
Ir 192.22 Ir.upf
Ho 164.93 Ho.upf
Nd 144.24 Nd.upf
Ga 69.72 Ga.upf
ATOMIC_POSITIONS crystal
Ir 0.6667 0.3333 0.2712
Ir 0.3333 0.6667 0.7288
Ho 0.0000 0.0000 0.5000
Nd 0.0000 0.0000 0.0000
Ga 0.3333 0.6667 0.2719
Ga 0.6667 0.3333 0.7281
CELL_PARAMETERS angstrom
4.4132 0.0000 0.0000
-2.2066 3.8220 0.0000
0.0000 0.0000 7.2541
```

Properties
formation energy from the elements: -769 meV per atom
magnetization: 0.000 Bohr magnetons per cell
electronic total energy: -6.29 eV/atom
symmetry: P-3m1 (164)

***

NdHoGaIr | PBE | relaxed Values from VASP.

Cell and atoms, written as Quantum ESPRESSO input:
```
&SYSTEM
  ibrav = 0, nat = 4, ntyp = 4
/
ATOMIC_SPECIES
Ga 69.72 Ga.upf
Ho 164.93 Ho.upf
Nd 144.24 Nd.upf
Ir 192.22 Ir.upf
ATOMIC_POSITIONS crystal
Ga 0.5657 0.5000 0.1314
Ho 0.8637 0.5000 0.7273
Nd 0.1464 0.0000 0.2928
Ir 0.4242 0.0000 0.8484
CELL_PARAMETERS angstrom
-0.1664 -2.0684 3.5590
3.7326 1.6345 1.1245
-2.4548 5.2330 0.5421
```

Properties
formation energy from the elements: -687 meV per atom
magnetization: 0.000 Bohr magnetons per cell
electronic total energy: -6.00 eV/atom
symmetry: Amm2 (38)

***

NdHoGaIr | PBE | relaxed Values from VASP.

Cell and atoms, written as Quantum ESPRESSO input:
```
&SYSTEM
  ibrav = 0, nat = 4, ntyp = 4
/
ATOMIC_SPECIES
Nd 144.24 Nd.upf
Ga 69.72 Ga.upf
Ir 192.22 Ir.upf
Ho 164.93 Ho.upf
ATOMIC_POSITIONS crystal
Nd 0.5000 0.5000 0.5000
Ga 0.2500 0.2500 0.2500
Ir 0.7500 0.7500 0.7500
Ho 0.0000 0.0000 0.0000
CELL_PARAMETERS angstrom
-0.6323 4.9795 0.3596
-0.8284 2.1133 4.4914
3.5607 2.8405 2.1395
```

Properties
formation energy from the elements: -588 meV per atom
magnetization: 0.000 Bohr magnetons per cell
electronic total energy: -5.90 eV/atom
symmetry: F-43m (216)